[1]
The following is a PBE calculation of crystalline K2Ti2Te5 at its relaxed geometry, from Alexandria.

a = 8.204 Å, b = 8.204 Å, c = 8.615 Å
α = 97.49°, β = 97.49°, γ = 38.26°
Sites, in units of the cell vectors:
K (0.096, 0.096, 0.303)
K (0.904, 0.904, 0.697)
Ti (0.351, 0.351, 0.120)
Ti (0.649, 0.649, 0.880)
Te (0.187, 0.187, 0.939)
Te (0.372, 0.372, 0.415)
Te (0.500, 0.500, 0.000)
Te (0.628, 0.628, 0.585)
Te (0.813, 0.813, 0.061)

Summary:
crystal system	monoclinic
total moment	0.00	μB per formula unit
E_form (uncorrected)	-0.718	eV per atom
VASP energy	-40.2	eV per formula unit
volume	39.51	Å³ per atom


[2]
The following is a PBE calculation of crystalline KTiTe4 at its relaxed geometry, from Alexandria.

a = 8.937 Å, b = 8.937 Å, c = 6.142 Å
α = 91.88°, β = 91.88°, γ = 61.81°
Sites, in units of the cell vectors:
K (0.168, 0.168, 0.230)
K (0.832, 0.832, 0.770)
Ti (0.489, 0.489, 0.729)
Ti (0.511, 0.511, 0.271)
Te (0.192, 0.575, 0.402)
Te (0.250, 0.750, 0.000)
Te (0.307, 0.307, 0.734)
Te (0.425, 0.808, 0.598)
Te (0.575, 0.192, 0.402)
Te (0.693, 0.693, 0.266)
Te (0.750, 0.250, 0.000)
Te (0.808, 0.425, 0.598)

Summary:
crystal system	monoclinic
total moment	0.00	μB per formula unit
E_form (uncorrected)	-0.569	eV per atom
VASP energy	-25.0	eV per formula unit
volume	36.00	Å³ per atom


[3]
The following is a PBE calculation of crystalline K5TiTe5 at its relaxed geometry, from Alexandria.

a = 8.579 Å, b = 8.579 Å, c = 9.407 Å
α = 108.22°, β = 108.22°, γ = 45.50°
Sites, in units of the cell vectors:
K (0.000, 0.000, 0.000)
K (0.301, 0.301, 0.192)
K (0.331, 0.331, 0.657)
K (0.669, 0.669, 0.343)
K (0.699, 0.699, 0.808)
Ti (0.000, 0.000, 0.500)
Te (0.128, 0.128, 0.364)
Te (0.137, 0.137, 0.782)
Te (0.500, 0.500, 0.500)
Te (0.863, 0.863, 0.218)
Te (0.872, 0.872, 0.636)

Summary:
crystal system	monoclinic
total moment	0.94	μB per formula unit
E_form (uncorrected)	-0.747	eV per atom
VASP energy	-37.3	eV per formula unit
volume	42.23	Å³ per atom


[4]
The following is a PBE calculation of crystalline KTi3Te at its relaxed geometry, from Alexandria.

a = 4.618 Å, b = 4.618 Å, c = 4.618 Å
α = 90.00°, β = 90.00°, γ = 90.00°
Sites, in units of the cell vectors:
K (0.000, 0.000, 0.000)
Ti (0.000, 0.000, 0.500)
Ti (0.000, 0.500, 0.000)
Ti (0.500, 0.000, 0.000)
Te (0.500, 0.500, 0.500)

Summary:
crystal system	cubic
total moment	0.61	μB per formula unit
E_form (uncorrected)	1.814	eV per atom
VASP energy	-18.9	eV per formula unit
volume	19.69	Å³ per atom


[5]
The following is a PBE calculation of crystalline KTi2Te3 at its relaxed geometry, from Alexandria.

a = 8.596 Å, b = 8.596 Å, c = 9.357 Å
α = 90.00°, β = 90.00°, γ = 149.18°
Sites, in units of the cell vectors:
K (0.228, 0.772, 0.750)
K (0.772, 0.228, 0.250)
Ti (0.000, 0.000, 0.000)
Ti (0.000, 0.000, 0.500)
Ti (0.482, 0.518, 0.750)
Ti (0.518, 0.482, 0.250)
Te (0.103, 0.897, 0.250)
Te (0.396, 0.604, 0.053)
Te (0.396, 0.604, 0.447)
Te (0.604, 0.396, 0.553)
Te (0.604, 0.396, 0.947)
Te (0.897, 0.103, 0.750)

Summary:
crystal system	orthorhombic
total moment	0.68	μB per formula unit
E_form (uncorrected)	-0.748	eV per atom
VASP energy	-30.8	eV per formula unit
volume	29.52	Å³ per atom


[6]
The following is a PBE calculation of crystalline KTi3Te at its relaxed geometry, from Alexandria.

a = 5.194 Å, b = 5.194 Å, c = 5.194 Å
α = 90.00°, β = 90.00°, γ = 90.00°
Sites, in units of the cell vectors:
K (0.000, 0.000, 0.000)
Ti (0.000, 0.500, 0.500)
Ti (0.500, 0.000, 0.500)
Ti (0.500, 0.500, 0.000)
Te (0.500, 0.500, 0.500)

Summary:
crystal system	cubic
total moment	0.00	μB per formula unit
E_form (uncorrected)	0.872	eV per atom
VASP energy	-23.6	eV per formula unit
volume	28.02	Å³ per atom


[7]
The following is a PBE calculation of crystalline KTiTe3 at its relaxed geometry, from Alexandria.

a = 5.473 Å, b = 5.473 Å, c = 5.473 Å
α = 90.00°, β = 90.00°, γ = 90.00°
Sites, in units of the cell vectors:
K (0.000, 0.000, 0.000)
Ti (0.500, 0.500, 0.500)
Te (0.000, 0.500, 0.500)
Te (0.500, 0.000, 0.500)
Te (0.500, 0.500, 0.000)

Summary:
crystal system	cubic
total moment	0.00	μB per formula unit
E_form (uncorrected)	-0.599	eV per atom
VASP energy	-21.4	eV per formula unit
volume	32.78	Å³ per atom


[8]
The following is a PBE calculation of crystalline K3TiTe4 at its relaxed geometry, from Alexandria.

a = 8.761 Å, b = 8.761 Å, c = 6.443 Å
α = 110.58°, β = 110.58°, γ = 48.40°
Sites, in units of the cell vectors:
K (0.000, 0.000, 0.000)
K (0.388, 0.184, 0.285)
K (0.816, 0.612, 0.715)
Ti (0.275, 0.725, 0.500)
Te (0.238, 0.066, 0.656)
Te (0.546, 0.449, 0.762)
Te (0.551, 0.454, 0.238)
Te (0.934, 0.762, 0.344)

Summary:
crystal system	monoclinic
total moment	0.00	μB per formula unit
E_form (uncorrected)	-0.830	eV per atom
VASP energy	-30.4	eV per formula unit
volume	42.66	Å³ per atom


[9]
The following is a PBE calculation of crystalline K2TiTe4 at its relaxed geometry, from Alexandria.

a = 9.600 Å, b = 9.600 Å, c = 9.600 Å
α = 146.88°, β = 146.88°, γ = 47.54°
Sites, in units of the cell vectors:
K (0.145, 0.145, 0.000)
K (0.855, 0.855, 0.000)
Ti (0.500, 0.500, 0.000)
Te (0.000, 0.500, 0.500)
Te (0.346, 0.346, 0.000)
Te (0.500, 0.000, 0.500)
Te (0.654, 0.654, 0.000)

Summary:
crystal system	tetragonal
total moment	0.00	μB per formula unit
E_form (uncorrected)	-0.608	eV per atom
VASP energy	-26.9	eV per formula unit
volume	37.59	Å³ per atom


[10]
The following is a PBE calculation of crystalline K5Ti2Te6 at its relaxed geometry, from Alexandria.

a = 8.263 Å, b = 8.263 Å, c = 18.326 Å
α = 100.51°, β = 100.51°, γ = 64.88°
Sites, in units of the cell vectors:
K (0.149, 0.851, 0.750)
K (0.187, 0.711, 0.001)
K (0.222, 0.454, 0.268)
K (0.289, 0.813, 0.499)
K (0.454, 0.222, 0.768)
K (0.546, 0.778, 0.232)
K (0.711, 0.187, 0.501)
K (0.778, 0.546, 0.732)
K (0.813, 0.289, 0.999)
K (0.851, 0.149, 0.250)
Ti (0.134, 0.409, 0.569)
Ti (0.409, 0.134, 0.069)
Ti (0.591, 0.866, 0.931)
Ti (0.866, 0.591, 0.431)
Te (0.100, 0.176, 0.639)
Te (0.161, 0.278, 0.425)
Te (0.176, 0.100, 0.139)
Te (0.278, 0.161, 0.925)
Te (0.411, 0.482, 0.627)
Te (0.482, 0.411, 0.127)
Te (0.518, 0.589, 0.873)
Te (0.589, 0.518, 0.373)
Te (0.722, 0.839, 0.075)
Te (0.824, 0.900, 0.861)
Te (0.839, 0.722, 0.575)
Te (0.900, 0.824, 0.361)

Summary:
crystal system	monoclinic
total moment	1.00	μB per formula unit
E_form (uncorrected)	-0.958	eV per atom
VASP energy	-52.6	eV per formula unit
volume	42.55	Å³ per atom


[11]
The following is a PBE calculation of crystalline K3TiTe at its relaxed geometry, from Alexandria.

a = 6.640 Å, b = 6.640 Å, c = 6.640 Å
α = 90.00°, β = 90.00°, γ = 90.00°
Sites, in units of the cell vectors:
K (0.000, 0.000, 0.500)
K (0.000, 0.500, 0.000)
K (0.500, 0.000, 0.000)
Ti (0.500, 0.500, 0.500)
Te (0.000, 0.000, 0.000)

Summary:
crystal system	cubic
total moment	0.15	μB per formula unit
E_form (uncorrected)	0.427	eV per atom
VASP energy	-12.2	eV per formula unit
volume	58.56	Å³ per atom


[12]
The following is a PBE calculation of crystalline KTi2Te4 at its relaxed geometry, from Alexandria.

a = 7.235 Å, b = 7.235 Å, c = 14.435 Å
α = 90.00°, β = 90.00°, γ = 147.37°
Sites, in units of the cell vectors:
K (0.110, 0.890, 0.750)
K (0.890, 0.110, 0.250)
Ti (0.372, 0.628, 0.568)
Ti (0.372, 0.628, 0.932)
Ti (0.628, 0.372, 0.068)
Ti (0.628, 0.372, 0.432)
Te (0.000, 0.000, 0.000)
Te (0.000, 0.000, 0.500)
Te (0.265, 0.735, 0.100)
Te (0.265, 0.735, 0.400)
Te (0.413, 0.587, 0.750)
Te (0.587, 0.413, 0.250)
Te (0.735, 0.265, 0.600)
Te (0.735, 0.265, 0.900)

Summary:
crystal system	orthorhombic
total moment	0.86	μB per formula unit
E_form (uncorrected)	-0.686	eV per atom
VASP energy	-34.3	eV per formula unit
volume	29.10	Å³ per atom